(1)
First-principles (GGA-PBE) data for KRh3Se after structural relaxation, as listed in Alexandria.

The structure in CIF format:
```
data_KRh3Se
_symmetry_space_group_name_H-M 'P m -3 m'
_symmetry_Int_Tables_number 221
_symmetry_space_group_name_Hall '-P 4 2 3'
_cell_length_a 4.696
_cell_length_b 4.696
_cell_length_c 4.696
_cell_angle_alpha 90.00
_cell_angle_beta 90.00
_cell_angle_gamma 90.00
loop_
_atom_site_label
_atom_site_fract_x
_atom_site_fract_y
_atom_site_fract_z
K1 0.000 0.000 0.000
Rh1 0.000 0.500 0.500
Se1 0.500 0.500 0.500
```

Calculated values
Formation energy (no corrections) (eV/atom): 0.3539
Electronic total energy (eV per atom): -4.97
Fermi-level density of states (states/eV per cell): 3.65

=====

(2)
First-principles (GGA-PBE) data for Dy2Zn5Cu5 after structural relaxation, as listed in Alexandria.

The structure in CIF format:
```
data_Dy2Zn5Cu5
_symmetry_space_group_name_H-M 'P m m m'
_symmetry_Int_Tables_number 47
_cell_length_a 4.066
_cell_length_b 5.194
_cell_length_c 9.119
_cell_angle_alpha 90.00
_cell_angle_beta 90.00
_cell_angle_gamma 90.00
loop_
_symmetry_equiv_pos_as_xyz
'x,y,z'
'-x,-y,-z'
'-x,-y,z'
'x,y,-z'
'x,-y,-z'
'-x,y,z'
'-x,y,-z'
'x,-y,z'
loop_
_atom_site_label
_atom_site_fract_x
_atom_site_fract_y
_atom_site_fract_z
Dy1 0.000 0.000 0.000
Dy2 0.000 0.500 0.500
Zn1 0.000 0.000 0.326
Zn2 0.000 0.500 0.167
Zn3 0.500 0.000 0.500
Cu1 0.500 0.252 0.249
Cu2 0.500 0.500 0.000
```

Calculated values
Electronic total energy (eV per atom): -3.26
Fermi-level density of states (states/eV per cell): 5.14

=====

(3)
First-principles (GGA-PBE) data for PmNd3Cd after structural relaxation, as listed in Alexandria.

The structure in CIF format:
```
data_PmNd3Cd
_symmetry_space_group_name_H-M 'C 1 2/c 1'
_symmetry_Int_Tables_number 15
_cell_length_a 15.117
_cell_length_b 13.583
_cell_length_c 6.484
_cell_angle_alpha 90.00
_cell_angle_beta 103.83
_cell_angle_gamma 90.00
loop_
_symmetry_equiv_pos_as_xyz
'x,y,z'
'-x,-y,-z'
'-x,y,-z+1/2'
'x,-y,z+1/2'
'x+1/2,y+1/2,z'
'-x+1/2,-y+1/2,-z'
'-x+1/2,y+1/2,-z+1/2'
'x+1/2,-y+1/2,z+1/2'
loop_
_atom_site_label
_atom_site_fract_x
_atom_site_fract_y
_atom_site_fract_z
Pm1 0.096 0.201 0.003
Nd1 0.101 0.064 0.488
Nd2 0.183 0.311 0.619
Nd3 0.199 0.435 0.127
Cd1 0.000 0.374 0.250
Cd2 0.000 0.409 0.750
```

Calculated values
Electronic total energy (eV per atom): -4.03
Fermi-level density of states (states/eV per cell): 52.40

=====

(4)
First-principles (GGA-PBE) data for CaTaBr2 after structural relaxation, as listed in Alexandria.

The structure in CIF format:
```
data_CaTaBr2
_symmetry_space_group_name_H-M 'P 4 m m'
_symmetry_Int_Tables_number 99
_cell_length_a 3.403
_cell_length_b 3.403
_cell_length_c 9.269
_cell_angle_alpha 90.00
_cell_angle_beta 90.00
_cell_angle_gamma 90.00
loop_
_symmetry_equiv_pos_as_xyz
'x,y,z'
'-y,x,z'
'-x,-y,z'
'y,-x,z'
'-x,y,z'
'y,x,z'
'x,-y,z'
'-y,-x,z'
loop_
_atom_site_label
_atom_site_fract_x
_atom_site_fract_y
_atom_site_fract_z
Ca1 0.000 0.000 0.000
Ta1 0.500 0.500 0.267
Br1 0.000 0.000 0.421
Br2 0.500 0.500 0.818
```

Calculated values
Formation energy (no corrections) (eV/atom): -0.4159
Electronic total energy (eV per atom): -4.72
Fermi-level density of states (states/eV per cell): 0.79

=====

(5)
First-principles (GGA-PBE) data for YSc2Mn after structural relaxation, as listed in Alexandria.

The structure in CIF format:
```
data_YSc2Mn
_symmetry_space_group_name_H-M 'I -4 m 2'
_symmetry_Int_Tables_number 119
_symmetry_space_group_name_Hall 'I -4 -2'
_cell_length_a 4.748
_cell_length_b 4.748
_cell_length_c 8.240
_cell_angle_alpha 90.00
_cell_angle_beta 90.00
_cell_angle_gamma 90.00
loop_
_atom_site_label
_atom_site_fract_x
_atom_site_fract_y
_atom_site_fract_z
Y1 0.000 0.000 0.000
Sc1 0.000 0.000 0.500
Sc2 0.000 0.500 0.250
Mn1 0.000 0.500 0.750
```

Calculated values
Electronic total energy (eV per atom): -6.87
Fermi-level density of states (states/eV per cell): 12.20

=====

(6)
First-principles (GGA-PBE) data for Pu5HN4 after structural relaxation, as listed in Alexandria.

The structure in CIF format:
```
data_Pu5HN4
_symmetry_space_group_name_H-M 'I 4/m m m'
_symmetry_Int_Tables_number 139
_symmetry_space_group_name_Hall '-I 4 2'
_cell_length_a 3.502
_cell_length_b 3.502
_cell_length_c 24.681
_cell_angle_alpha 90.00
_cell_angle_beta 90.00
_cell_angle_gamma 90.00
loop_
_atom_site_label
_atom_site_fract_x
_atom_site_fract_y
_atom_site_fract_z
Pu1 0.000 0.000 0.000
Pu2 0.000 0.000 0.200
Pu3 0.000 0.000 0.398
H1 0.000 0.000 0.500
N1 0.000 0.000 0.103
N2 0.000 0.000 0.303
```

Calculated values
Electronic total energy (eV per atom): -11.85
Fermi-level density of states (states/eV per cell): 59.14

=====

(7)
First-principles (GGA-PBE) data for Ba2ZrZnS after structural relaxation, as listed in Alexandria.

The structure in CIF format:
```
data_Ba2ZrZnS
_symmetry_space_group_name_H-M 'P 4/m m m'
_symmetry_Int_Tables_number 123
_symmetry_space_group_name_Hall '-P 4 2'
_cell_length_a 6.540
_cell_length_b 6.540
_cell_length_c 4.475
_cell_angle_alpha 90.00
_cell_angle_beta 90.00
_cell_angle_gamma 90.00
loop_
_atom_site_label
_atom_site_fract_x
_atom_site_fract_y
_atom_site_fract_z
Ba1 0.000 0.500 0.000
Zr1 0.000 0.000 0.500
Zn1 0.500 0.500 0.000
S1 0.500 0.500 0.500
```

Calculated values
Formation energy (no corrections) (eV/atom): 0.3885
Electronic total energy (eV per atom): -3.17
Fermi-level density of states (states/eV per cell): 7.04

=====

(8)
First-principles (GGA-PBE) data for NbTcMo after structural relaxation, as listed in Alexandria.

The structure in CIF format:
```
data_NbTcMo
_symmetry_space_group_name_H-M 'P 4/n m m'
_symmetry_Int_Tables_number 129
_cell_length_a 3.182
_cell_length_b 3.182
_cell_length_c 9.601
_cell_angle_alpha 90.00
_cell_angle_beta 90.00
_cell_angle_gamma 90.00
loop_
_symmetry_equiv_pos_as_xyz
'x,y,z'
'-x,-y,-z'
'-y+1/2,x,z'
'y+1/2,-x,-z'
'-x+1/2,-y+1/2,z'
'x+1/2,y+1/2,-z'
'y,-x+1/2,z'
'-y,x+1/2,-z'
'x+1/2,-y,-z'
'-x+1/2,y,z'
'-y,-x,-z'
'y,x,z'
'-x,y+1/2,-z'
'x,-y+1/2,z'
'y+1/2,x+1/2,-z'
'-y+1/2,-x+1/2,z'
loop_
_atom_site_label
_atom_site_fract_x
_atom_site_fract_y
_atom_site_fract_z
Nb1 0.250 0.250 0.245
Tc1 0.250 0.250 0.915
Mo1 0.250 0.250 0.580
```

Calculated values
Electronic total energy (eV per atom): -10.53
Fermi-level density of states (states/eV per cell): 5.76

=====

(9)
First-principles (GGA-PBE) data for Ba2SbRuI after structural relaxation, as listed in Alexandria.

The structure in CIF format:
```
data_Ba2SbRuI
_symmetry_space_group_name_H-M 'P 4/m m m'
_symmetry_Int_Tables_number 123
_symmetry_space_group_name_Hall '-P 4 2'
_cell_length_a 6.669
_cell_length_b 6.669
_cell_length_c 4.903
_cell_angle_alpha 90.00
_cell_angle_beta 90.00
_cell_angle_gamma 90.00
loop_
_atom_site_label
_atom_site_fract_x
_atom_site_fract_y
_atom_site_fract_z
Ba1 0.000 0.500 0.000
Sb1 0.000 0.000 0.000
Ru1 0.000 0.000 0.500
I1 0.500 0.500 0.500
```

Calculated values
Formation energy (no corrections) (eV/atom): -0.3172
Electronic total energy (eV per atom): -4.08
Fermi-level density of states (states/eV per cell): 4.78

=====

(10)
First-principles (GGA-PBE) data for PuMg3N4 after structural relaxation, as listed in Alexandria.

The structure in CIF format:
```
data_PuMg3N4
_symmetry_space_group_name_H-M 'P 1 2/c 1'
_symmetry_Int_Tables_number 13
_cell_length_a 5.532
_cell_length_b 6.313
_cell_length_c 5.680
_cell_angle_alpha 90.00
_cell_angle_beta 111.73
_cell_angle_gamma 90.00
loop_
_symmetry_equiv_pos_as_xyz
'x,y,z'
'-x,-y,-z'
'-x,y,-z+1/2'
'x,-y,z+1/2'
loop_
_atom_site_label
_atom_site_fract_x
_atom_site_fract_y
_atom_site_fract_z
Pu1 0.000 0.138 0.250
Mg1 0.000 0.374 0.750
Mg2 0.500 0.131 0.750
Mg3 0.500 0.387 0.250
N1 0.231 0.109 0.993
N2 0.247 0.369 0.485
```

Calculated values
Formation energy (no corrections) (eV/atom): -0.8844
Electronic total energy (eV per atom): -7.44
Fermi-level density of states (states/eV per cell): 8.67

=====

(11)
First-principles (GGA-PBE) data for Cs2NbZnO4 after structural relaxation, as listed in Alexandria.

The structure in CIF format:
```
data_Cs2NbZnO4
_symmetry_space_group_name_H-M 'I -4'
_symmetry_Int_Tables_number 82
_cell_length_a 6.425
_cell_length_b 6.425
_cell_length_c 8.538
_cell_angle_alpha 90.00
_cell_angle_beta 90.00
_cell_angle_gamma 90.00
loop_
_symmetry_equiv_pos_as_xyz
'x,y,z'
'y,-x,-z'
'-x,-y,z'
'-y,x,-z'
'x+1/2,y+1/2,z+1/2'
'y+1/2,-x+1/2,-z+1/2'
'-x+1/2,-y+1/2,z+1/2'
'-y+1/2,x+1/2,-z+1/2'
loop_
_atom_site_label
_atom_site_fract_x
_atom_site_fract_y
_atom_site_fract_z
Cs1 0.000 0.000 0.000
Cs2 0.000 0.500 0.250
Nb1 0.000 0.500 0.750
Zn1 0.000 0.000 0.500
O1 0.107 0.281 0.624
```

Calculated values
Formation energy (no corrections) (eV/atom): -1.7698
Electronic total energy (eV per atom): -5.88
Fermi-level density of states (states/eV per cell): 8.34

=====

(12)
First-principles (GGA-PBE) data for Ac2Dy7Y4 after structural relaxation, as listed in Alexandria.

The structure in CIF format:
```
data_Ac2Dy7Y4
_symmetry_space_group_name_H-M 'P -3 1 m'
_symmetry_Int_Tables_number 162
_symmetry_space_group_name_Hall '-P 3 2'
_cell_length_a 6.1983
_cell_length_b 6.1983
_cell_length_c 13.3922
_cell_angle_alpha 90.00
_cell_angle_beta 90.00
_cell_angle_gamma 120.00
loop_
_atom_site_label
_atom_site_fract_x
_atom_site_fract_y
_atom_site_fract_z
Ac1 0.3333 0.6667 0.0000
Dy1 0.0000 0.0000 0.0000
Dy2 0.0000 0.3581 0.7790
Y1 0.0000 0.0000 0.3953
Y2 0.3333 0.6667 0.5000
```

Calculated values
Electronic total energy (eV per atom): -4.88
Fermi-level density of states (states/eV per cell): 20.64

=====

Here are the calculated size of the total moment numbers, same order: 0.00; 0.00; 0.00; 1.02; 4.28; 51.98; 4.05; 0.00; 0.50; 4.00; 0.01; 0.00 (Bohr magnetons per cell).